Crystalline Nd6BiAs3P2 at its relaxed geometry. Source: Alexandria via LeMat-Bulk, functional PBE.

a = 4.285 Å, b = 8.616 Å, c = 9.590 Å
α = 102.69°, β = 102.91°, γ = 90.00°
Fractional positions:
P: 0.832 0.664 0.663
As: 0.500 0.500 0.000
Nd: 0.669 0.580 0.339
As: 0.835 0.168 0.671
Bi: 0.500 0.000 0.000
Nd: 0.326 0.907 0.652
P: 0.168 0.336 0.337
Nd: 0.003 0.267 0.007
Nd: 0.674 0.093 0.348
As: 0.165 0.832 0.329
Nd: 0.331 0.420 0.661
Nd: 0.997 0.733 0.993

Output
space group	C2/m
total DFT energy (no corrections)	-74.0	eV for the cell shown
calculated formation energy	-1.393	eV/atom

=====

Crystalline Nd12Sm6In at its relaxed geometry. Source: Alexandria via LeMat-Bulk, functional PBE.

a = 8.700 Å, b = 8.700 Å, c = 8.700 Å
α = 88.67°, β = 88.67°, γ = 88.67°
Fractional positions:
Nd: 0.182 0.361 0.016
Sm: 0.708 0.257 0.097
Sm: 0.743 0.903 0.292
Nd: 0.984 0.818 0.639
Sm: 0.097 0.708 0.257
Nd: 0.432 0.783 0.537
Sm: 0.257 0.097 0.708
Nd: 0.463 0.568 0.217
Nd: 0.818 0.639 0.984
Nd: 0.217 0.463 0.568
Nd: 0.568 0.217 0.463
Sm: 0.292 0.743 0.903
Nd: 0.639 0.984 0.818
In: 0.000 0.000 0.000
Nd: 0.537 0.432 0.783
Nd: 0.361 0.016 0.182
Sm: 0.903 0.292 0.743
Nd: 0.783 0.537 0.432
Nd: 0.016 0.182 0.361

Output
space group	R-3
total DFT energy (no corrections)	-87.2	eV for the cell shown
calculated formation energy	0.058	eV/atom

=====

Crystalline Nd2PuS4 at its relaxed geometry. Source: Alexandria via LeMat-Bulk, functional PBE.

a = 4.063 Å, b = 6.993 Å, c = 6.993 Å
α = 108.40°, β = 90.00°, γ = 90.00°
Site moments in Bohr magnetons follow the coordinates.
Fractional positions:
S: 0.000 0.248 0.752  -0.02
Pu: 0.000 0.000 0.000  5.11
S: 0.500 0.772 0.772  -0.07
Nd: 0.500 0.500 0.000  0.08
Nd: 0.500 0.000 0.500  0.08
S: 0.500 0.228 0.228  -0.07
S: 0.000 0.752 0.248  -0.02

Output
space group	Cmmm
total DFT energy (no corrections)	-53.7	eV for the cell shown
energy above the lowest structure with this stoichiometry	0	meV per atom
formation energy from raw total energies	-1.9008	eV/atom

=====

Crystalline NdSCl at its relaxed geometry. Source: Alexandria via LeMat-Bulk, functional PBE.

a = 3.747 Å, b = 3.747 Å, c = 5.559 Å
α = 109.69°, β = 109.69°, γ = 90.00°
Fractional positions:
S: 0.025 0.025 0.050
Cl: 0.330 0.330 0.659
Nd: 0.645 0.645 0.291

Output
space group	I4mm
total DFT energy (no corrections)	-16.2	eV for the cell shown
formation energy from raw total energies	-1.8038	eV/atom

=====

Number 1: spin magnetization 0.00 μB per cell. Number 2: spin magnetization 0.00 μB per cell. Number 3: spin magnetization 5.46 μB per cell. Number 4: spin magnetization 0.00 μB per cell.